## Sr3FeMo2O9 (PBE+U)

Data for Sr3FeMo2O9 after structural relaxation.

Calculated values
- volume (A^3/atom) = 13.33
- total moment (μB/f.u.) = 5.96
- raw total energy (eV/f.u.) = -102.70

Lattice parameters (Å, degrees): 5.7871 5.7871 6.8931 90.00 90.00 120.00
Space group P-3m1 (No. 164)
Symmetry-distinct sites (fractional):
Sr (0.0000, 0.0000, 0.0000) (multiplicity 1)
Sr (0.3333, 0.6667, 0.6663) (multiplicity 2)
Fe (0.0000, 0.0000, 0.5000) (multiplicity 1)
Mo (0.3333, 0.6667, 0.1753) (multiplicity 2)
O (0.0000, 0.5000, 0.0000) (multiplicity 3)
O (0.1706, 0.3412, 0.3248) (multiplicity 6)